[1]
RbOs2F | PBE | relaxed

E above lowest polymorph = 0 meV per atom
Raw formation energy = 0.2242 eV/atom
DOS(E_F) = 0.944 states/eV per atom
Raw total energy = -48.8 eV per cell
V = 26.1 Å³ per atom
Space group = I-42d, No. 122

Cell and atoms, written as POSCAR:
```
RbOs2F
1.0
-2.5692 -0.8845 -2.2502
-0.3325 -3.1229 1.6072
-12.8194 4.5593 10.0791
Os Rb F
4 2 2
Direct
0.6371 0.1250 0.2500
0.1129 0.6250 0.2500
0.3750 0.3629 0.7500
0.8750 0.8871 0.7500
0.0000 0.0000 0.0000
0.7500 0.2500 0.5000
0.5000 0.5000 0.0000
0.2500 0.7500 0.5000
```

---

[2]
RbOs3F | PBE | relaxed

E above lowest polymorph = 1771 meV per atom
Raw formation energy = 4.1353 eV/atom
DOS(E_F) = 0.988 states/eV per atom
Raw total energy = -15.9 eV per cell
V = 24.5 Å³ per atom
Space group = Pm-3m, No. 221

Cell and atoms, written as POSCAR:
```
RbOs3F
1.0
4.9677 0.0000 0.0000
0.0000 4.9677 0.0000
0.0000 0.0000 4.9677
Os Rb F
3 1 1
Direct
0.0000 0.5000 0.0000
0.0000 0.0000 0.5000
0.5000 0.0000 0.0000
0.0000 0.0000 0.0000
0.5000 0.5000 0.5000
```

---

[3]
Rb2ReOsF6 | PBE | relaxed

Raw formation energy = -1.3840 eV/atom
DOS(E_F) = 0.000 states/eV per atom
Raw total energy = -50.7 eV per cell
V = 18.9 Å³ per atom
Space group = I4/mmm, No. 139

Cell and atoms, written as POSCAR:
```
Rb2ReOsF6
1.0
5.8057 0.0000 0.0000
0.0000 5.8057 0.0000
2.9028 2.9028 5.6141
Re Os Rb F
1 1 2 6
Direct
0.5000 0.5000 0.0000
0.0000 0.0000 0.0000
0.7500 0.2500 0.5000
0.2500 0.7500 0.5000
0.1871 0.1871 0.6258
0.8129 0.8129 0.3742
0.2555 0.2555 0.0000
0.7445 0.7445 0.0000
0.7445 0.2555 0.0000
0.2555 0.7445 0.0000
```

---

[4]
Rb2OsSF6 | PBE | relaxed

Raw formation energy = -1.6945 eV/atom
DOS(E_F) = 0.692 states/eV per atom
Raw total energy = -45.5 eV per cell
V = 22.4 Å³ per atom
Space group = I4/mmm, No. 139

Cell and atoms, written as POSCAR:
```
Rb2OsSF6
1.0
-0.3967 2.5863 -6.1495
5.6267 -3.1798 -1.7003
-0.0761 -4.2602 -5.4182
S Os Rb F
1 1 2 6
Direct
0.5000 0.5000 0.0000
0.0000 0.0000 0.0000
0.7500 0.2500 0.5000
0.2500 0.7500 0.5000
0.1936 0.1936 0.6127
0.8064 0.8064 0.3873
0.2078 0.2078 0.0000
0.7922 0.7922 0.0000
0.7922 0.2078 0.0000
0.2078 0.7922 0.0000
```